[1]
Computed, not measured: a geometry-optimized PbSe2O6 structure at the PBE level of DFT.

Cell lengths 6.899, 6.348, 6.899 Å; angles 79.74, 97.39, 79.74 degrees
Element x y z (fractional)
Pb  0.914  0.750  0.086
Pb  0.086  0.250  0.914
Se  0.448  0.730  0.214
Se  0.786  0.770  0.552
Se  0.552  0.270  0.786
Se  0.214  0.230  0.448
O  0.288  0.451  0.509
O  0.491  0.049  0.712
O  0.712  0.549  0.491
O  0.509  0.951  0.288
O  0.045  0.179  0.611
O  0.389  0.321  0.955
O  0.955  0.821  0.389
O  0.611  0.679  0.045
O  0.198  0.884  0.050
O  0.950  0.616  0.802
O  0.802  0.116  0.950
O  0.050  0.384  0.198

The calculation puts the total moment at 0.000 μB per atom. The formation energy without anion corrections comes out at -6.15 eV/f.u. As for the energy above the lowest structure with this stoichiometry: 0.89 eV/f.u. As for the space group: C2/c (15).



[2]
Computed, not measured: a geometry-optimized PbSeO2 structure at the PBE level of DFT.

Cell lengths 7.236, 7.236, 7.236 Å; angles 26.82, 26.82, 26.82 degrees
Element x y z (fractional)
Pb  0.000  0.000  0.000
O  0.880  0.880  0.880
O  0.120  0.120  0.120
Se  0.500  0.500  0.500

The calculation puts the total moment at 0.000 μB per atom. The formation energy without anion corrections comes out at -0.93 eV/f.u. As for the energy above the lowest structure with this stoichiometry: 1.09 eV/f.u. As for the space group: R-3m (166).



[3]
Computed, not measured: a geometry-optimized SmPbSeO5 structure at the PBE level of DFT.

Cell lengths 6.368, 6.368, 8.355 Å; angles 107.66, 107.66, 105.49 degrees
Element x y z (fractional)
Sm  0.000  0.000  0.500
Sm  0.000  0.000  0.000
Pb  0.295  0.705  0.250
Pb  0.705  0.295  0.750
Se  0.699  0.301  0.250
Se  0.301  0.699  0.750
O  0.080  0.920  0.250
O  0.920  0.080  0.750
O  0.887  0.336  0.108
O  0.113  0.664  0.892
O  0.664  0.113  0.392
O  0.336  0.887  0.608
O  0.774  0.585  0.403
O  0.226  0.415  0.597
O  0.415  0.226  0.097
O  0.585  0.774  0.903

The calculation puts the total moment at 0.111 μB per atom. The formation energy without anion corrections comes out at -12.61 eV/f.u. As for the space group: C2/c (15).